No. 1
DFT (GGA-PBE) results for crystalline NaNbO3 at its relaxed geometry.

Unit cell a=5.5786 b=5.4969 c=15.5661 alpha=90.00 beta=90.00 gamma=90.00
With the nearest neighbours (Å) after each atom.
Atoms (fractional coordinates):
Na: 0.2081 0.2389 0.0000  7 O 2.39-2.67
Na: 0.2313 0.2439 0.2518  3 O 2.30-2.32
Na: 0.2687 0.2439 0.7518  3 O 2.30-2.32
Na: 0.2919 0.2389 0.5000  7 O 2.39-2.67
Na: 0.7081 0.7611 0.0000  7 O 2.39-2.67
Na: 0.7313 0.7561 0.2518  3 O 2.30-2.32
Na: 0.7687 0.7561 0.7518  3 O 2.30-2.32
Na: 0.7919 0.7611 0.5000  7 O 2.39-2.67
Nb: 0.2280 0.7466 0.1253  5 O 1.90-2.12
Nb: 0.2322 0.7421 0.8760  6 O 1.92-2.12
Nb: 0.2678 0.7421 0.3760  6 O 1.92-2.12
Nb: 0.2720 0.7466 0.6253  5 O 1.90-2.12
Nb: 0.7280 0.2534 0.1253  5 O 1.90-2.12
Nb: 0.7322 0.2579 0.8760  6 O 1.92-2.12
Nb: 0.7678 0.2579 0.3760  6 O 1.92-2.12
Nb: 0.7720 0.2534 0.6253  5 O 1.90-2.12
O: 0.0335 0.0413 0.6005  2 Nb 1.91-2.13
O: 0.0353 0.0433 0.3910  2 Nb 1.92-2.12
O: 0.0466 0.4562 0.8515  2 Nb 1.92-2.10
O: 0.0500 0.4539 0.1396  2 Nb 1.90-2.12
O: 0.2219 0.6706 0.4967  2 Nb 1.94-2.06
O: 0.2485 0.8255 0.7465  2 Nb 1.94-2.07
O: 0.2515 0.8255 0.2465  2 Nb 1.94-2.07
O: 0.2781 0.6706 0.9967  2 Nb 1.94-2.06
O: 0.4500 0.4539 0.6396  2 Nb 1.90-2.12
O: 0.4534 0.4562 0.3515  2 Nb 1.92-2.10
O: 0.4647 0.0433 0.8910  2 Nb 1.92-2.12
O: 0.4665 0.0413 0.1005  2 Nb 1.91-2.13
O: 0.5335 0.9587 0.6005  2 Nb 1.91-2.13
O: 0.5353 0.9567 0.3910  2 Nb 1.92-2.12
O: 0.5466 0.5438 0.8515  2 Nb 1.92-2.10
O: 0.5500 0.5461 0.1396  2 Nb 1.90-2.12
O: 0.7219 0.3294 0.4967  2 Nb 1.94-2.06
O: 0.7485 0.1745 0.7465  2 Nb 1.94-2.07
O: 0.7515 0.1745 0.2465  2 Nb 1.94-2.07
O: 0.7781 0.3294 0.9967  2 Nb 1.94-2.06
O: 0.9500 0.5461 0.6396  2 Nb 1.90-2.12
O: 0.9534 0.5438 0.3515  2 Nb 1.92-2.10
O: 0.9647 0.9567 0.8910  2 Nb 1.92-2.12
O: 0.9665 0.9587 0.1005  2 Nb 1.91-2.13

Results
Total energy: -7.66 eV/atom
Crystal system: orthorhombic

No. 2
DFT (GGA-PBE) results for crystalline LaGaSiPd2 at its relaxed geometry.

Unit cell a=4.3226 b=4.3226 c=10.2836 alpha=90.00 beta=90.00 gamma=90.00
With the nearest neighbours (Å) after each atom.
Atoms (fractional coordinates):
La: 0.2500 0.2500 0.2483  8 Pd 3.26-3.34, 4 Si 3.32, 4 Ga 3.37
La: 0.7500 0.7500 0.7517  8 Pd 3.26-3.34, 4 Si 3.32, 4 Ga 3.37
Ga: 0.2500 0.7500 0.5000  4 Pd 2.60
Ga: 0.7500 0.2500 0.5000  4 Pd 2.60
Si: 0.2500 0.2500 0.8769  5 Pd 2.43-2.50
Si: 0.7500 0.7500 0.1231  5 Pd 2.43-2.50
Pd: 0.2500 0.2500 0.6407  1 Si 2.43, 4 Ga 2.60
Pd: 0.2500 0.7500 0.0000  4 Si 2.50
Pd: 0.7500 0.2500 0.0000  4 Si 2.50
Pd: 0.7500 0.7500 0.3593  1 Si 2.43, 4 Ga 2.60

Results
Total energy: -5.65 eV/atom
Crystal system: tetragonal

No. 3
DFT (GGA-PBE) results for crystalline Tm3NCl6 at its relaxed geometry.

Unit cell a=6.9307 b=8.0467 c=9.7244 alpha=76.53 beta=71.08 gamma=66.11
With the nearest neighbours (Å) after each atom.
Atoms (fractional coordinates):
Tm: 0.0925 0.0952 0.1763  1 N 2.17
Tm: 0.2186 0.4303 0.2733  1 N 2.19
Tm: 0.2352 0.4214 0.8753  2 N 2.20-2.24
Tm: 0.7648 0.5786 0.1247  2 N 2.20-2.24
Tm: 0.7814 0.5697 0.7267  1 N 2.19
Tm: 0.9075 0.9048 0.8237  1 N 2.17
N: 0.0943 0.3718 0.1171  4 Tm 2.17-2.24
N: 0.9057 0.6282 0.8829  4 Tm 2.17-2.24
Cl: 0.0409 0.1716 0.8956  3 Tm 2.76-2.95
Cl: 0.1922 0.4185 0.5948  2 Tm 2.60-2.84
Cl: 0.2172 0.1089 0.3978  2 Tm 2.59-2.61
Cl: 0.3244 0.7179 0.2914  3 Tm 2.75-2.95
Cl: 0.3317 0.7403 0.7142  3 Tm 2.65-2.89
Cl: 0.5000 0.0000 0.0000  2 Tm 2.69
Cl: 0.5000 0.5000 0.0000  4 Tm 2.83, 2 N 3.16
Cl: 0.6683 0.2597 0.2858  3 Tm 2.65-2.89
Cl: 0.6756 0.2821 0.7086  3 Tm 2.75-2.95
Cl: 0.7828 0.8911 0.6022  2 Tm 2.59-2.61
Cl: 0.8078 0.5815 0.4052  2 Tm 2.60-2.84
Cl: 0.9591 0.8284 0.1044  3 Tm 2.76-2.95

Results
Total energy: -5.44 eV/atom
Crystal system: triclinic

No. 4
DFT (GGA-PBE) results for crystalline TaSi at its relaxed geometry.

Unit cell a=5.1481 b=5.1481 c=5.1481 alpha=90.00 beta=90.00 gamma=90.00
With the nearest neighbours (Å) after each atom.
Atoms (fractional coordinates):
Ta: 0.0000 0.0000 0.0000  6 Si 2.57
Ta: 0.0000 0.5000 0.5000  6 Si 2.57
Ta: 0.5000 0.0000 0.5000  6 Si 2.57
Ta: 0.5000 0.5000 0.0000  6 Si 2.57
Si: 0.0000 0.0000 0.5000  6 Ta 2.57
Si: 0.0000 0.5000 0.0000  6 Ta 2.57
Si: 0.5000 0.0000 0.0000  6 Ta 2.57
Si: 0.5000 0.5000 0.5000  6 Ta 2.57

Results
Total energy: -8.69 eV/atom
Crystal system: cubic

What did the first record say?
DFT (GGA-PBE) results for crystalline NaNbO3 at its relaxed geometry.

Unit cell a=5.5786 b=5.4969 c=15.5661 alpha=90.00 beta=90.00 gamma=90.00
With the nearest neighbours (Å) after each atom.
Atoms (fractional coordinates):
Na: 0.2081 0.2389 0.0000  7 O 2.39-2.67
Na: 0.2313 0.2439 0.2518  3 O 2.30-2.32
Na: 0.2687 0.2439 0.7518  3 O 2.30-2.32
Na: 0.2919 0.2389 0.5000  7 O 2.39-2.67
Na: 0.7081 0.7611 0.0000  7 O 2.39-2.67
Na: 0.7313 0.7561 0.2518  3 O 2.30-2.32
Na: 0.7687 0.7561 0.7518  3 O 2.30-2.32
Na: 0.7919 0.7611 0.5000  7 O 2.39-2.67
Nb: 0.2280 0.7466 0.1253  5 O 1.90-2.12
Nb: 0.2322 0.7421 0.8760  6 O 1.92-2.12
Nb: 0.2678 0.7421 0.3760  6 O 1.92-2.12
Nb: 0.2720 0.7466 0.6253  5 O 1.90-2.12
Nb: 0.7280 0.2534 0.1253  5 O 1.90-2.12
Nb: 0.7322 0.2579 0.8760  6 O 1.92-2.12
Nb: 0.7678 0.2579 0.3760  6 O 1.92-2.12
Nb: 0.7720 0.2534 0.6253  5 O 1.90-2.12
O: 0.0335 0.0413 0.6005  2 Nb 1.91-2.13
O: 0.0353 0.0433 0.3910  2 Nb 1.92-2.12
O: 0.0466 0.4562 0.8515  2 Nb 1.92-2.10
O: 0.0500 0.4539 0.1396  2 Nb 1.90-2.12
O: 0.2219 0.6706 0.4967  2 Nb 1.94-2.06
O: 0.2485 0.8255 0.7465  2 Nb 1.94-2.07
O: 0.2515 0.8255 0.2465  2 Nb 1.94-2.07
O: 0.2781 0.6706 0.9967  2 Nb 1.94-2.06
O: 0.4500 0.4539 0.6396  2 Nb 1.90-2.12
O: 0.4534 0.4562 0.3515  2 Nb 1.92-2.10
O: 0.4647 0.0433 0.8910  2 Nb 1.92-2.12
O: 0.4665 0.0413 0.1005  2 Nb 1.91-2.13
O: 0.5335 0.9587 0.6005  2 Nb 1.91-2.13
O: 0.5353 0.9567 0.3910  2 Nb 1.92-2.12
O: 0.5466 0.5438 0.8515  2 Nb 1.92-2.10
O: 0.5500 0.5461 0.1396  2 Nb 1.90-2.12
O: 0.7219 0.3294 0.4967  2 Nb 1.94-2.06
O: 0.7485 0.1745 0.7465  2 Nb 1.94-2.07
O: 0.7515 0.1745 0.2465  2 Nb 1.94-2.07
O: 0.7781 0.3294 0.9967  2 Nb 1.94-2.06
O: 0.9500 0.5461 0.6396  2 Nb 1.90-2.12
O: 0.9534 0.5438 0.3515  2 Nb 1.92-2.10
O: 0.9647 0.9567 0.8910  2 Nb 1.92-2.12
O: 0.9665 0.9587 0.1005  2 Nb 1.91-2.13

Results
Total energy: -7.66 eV/atom
Crystal system: orthorhombic

Question: What is the total energy in the third record?
Answer: -5.44 eV/atom